PBE with a Hubbard U ZnFeO2, relaxed; magnetic moment = 4.00 μB/f.u.; D(E_F) = 0.00 states/eV/f.u.; E above lowest polymorph = 36 meV/atom; density = 5209 kg/m3; DFT total energy = -44.37 eV for the cell shown
1.0
-0.852 -2.002 2.732
4.690 -2.964 1.380
3.667 3.934 1.938
O Fe Zn
4 2 2
Direct
0.790 0.666 0.168
0.444 0.743 0.591
0.790 0.166 0.668
0.444 0.243 0.091
0.438 0.490 0.344
0.438 0.990 0.844
0.782 0.912 0.421
0.782 0.412 0.921